# TbYAl4Ni2

A relaxed structure of TbYAl4Ni2 (PBE, the Open Quantum Materials Database).

Geometry as POSCAR:
```
TbYAl4Ni2
1.0
-3.234 5.536 -2.506
-4.267 -3.155 -1.463
-4.699 -1.700 2.309
Al Ni Y Tb
4 2 1 1
direct
0.696 0.157 0.157 Al
0.304 0.157 0.157 Al
0.195 0.843 0.843 Al
0.805 0.843 0.843 Al
0.000 0.284 0.284 Ni
0.500 0.716 0.716 Ni
0.000 0.561 0.561 Y
0.500 0.439 0.439 Tb
```

Calculated values
**Volume**: 17.9 A^3/atom
**Total magnetization**: 0.00 Bohr magnetons per cell
**Final energy**: -42.4 eV/cell